(1)
5
Lattice="-4.385 -2.671 1.226 3.340 -3.682 3.925 -1.131 4.036 4.749" Properties=species:S:1:pos:R:3 comment="RbInTcI2 meta-GGA SCAN PBEsol geometry" rho_g_cm3=4.3 spacegroup="P4/mmm, No. 123" n_ef_per_ev_cell=2.929 energy_ev_per_atom=-32.341 m_tot_mub_per_cell=4.61 pbc="T T T"
I -0.566 2.018 2.375
I 1.670 -1.841 1.962
Tc -2.192 -1.336 0.613
Rb -1.088 -1.159 4.950
In 0.000 0.000 0.000



(2)
8
Lattice="-2.117 5.052 -0.846 -0.248 -1.719 5.264 5.457 -0.361 -0.906" Properties=species:S:1:pos:R:3 comment="Mg2AuO meta-GGA SCAN PBEsol geometry" rho_g_cm3=6.8 spacegroup="I-42d, No. 122" n_ef_per_ev_cell=2.138 energy_ev_per_atom=-22.869 m_tot_mub_per_cell=0.00 pbc="T T T"
Mg -1.351 3.596 1.884
Mg 3.140 -0.103 0.539
Mg 3.160 0.231 3.568
Mg 1.233 2.221 1.034
Au 0.119 1.147 3.299
Au 0.000 0.000 0.000
O 2.972 1.826 0.214
O 2.604 -1.040 2.179



What is the formula in the second record?
Mg2AuO